No. 1
A plane-wave DFT calculation with PBE was carried out for an optimized crystal structure of Zr4Ga6Ir7.

POSCAR file:
```
Zr4Ga6Ir7
1.0
6.7318 0.0000 -2.3801
-3.3659 5.8300 -2.3801
0.0000 0.0000 7.1402
Zr Ga Ir
4 6 7
direct
0.5000 0.0000 0.0000 Zr
0.5000 0.5000 0.5000 Zr
0.0000 0.5000 0.0000 Zr
0.0000 0.0000 0.5000 Zr
0.6927 0.0000 0.6927 Ga
0.6927 0.6927 0.0000 Ga
0.0000 0.3073 0.3073 Ga
0.3073 0.0000 0.3073 Ga
0.3073 0.3073 0.0000 Ga
0.0000 0.6927 0.6927 Ga
0.7500 0.5000 0.2500 Ir
0.2500 0.7500 0.5000 Ir
0.5000 0.7500 0.2500 Ir
0.7500 0.2500 0.5000 Ir
0.2500 0.5000 0.7500 Ir
0.5000 0.2500 0.7500 Ir
0.0000 0.0000 0.0000 Ir
```

Computed properties:
ΔH_f (0 K) = -713 meV per atom
final energy = -126.503 eV/cell
spin magnetization = 0.00 Bohr magnetons per cell

=====

No. 2
A plane-wave DFT calculation with PBE was carried out for an optimized crystal structure of La2BeP.

POSCAR file:
```
La2BeP
1.0
-1.1333 -3.9994 2.7386
4.8271 -0.6645 1.0183
-0.3418 2.1819 3.0455
P La Be
1 2 1
direct
0.5000 0.0000 0.5000 P
0.0000 0.0000 0.0000 La
0.5000 0.5000 0.0000 La
0.0000 0.5000 0.5000 Be
```

Computed properties:
energy relative to the lowest polymorph listed for this composition = 82.7 kJ/mol of formula units
ΔH_f (0 K) = -470 meV per atom
final energy = -20.872 eV/cell
spin magnetization = 0.00 Bohr magnetons per cell

=====

No. 3
A plane-wave DFT calculation with PBE was carried out for an optimized crystal structure of Cs2AsF5.

POSCAR file:
```
Cs2AsF5
1.0
-2.9994 5.6955 2.0849
-4.1880 -0.2533 -5.3084
0.8663 -4.9843 3.8713
Cs As F
2 1 5
direct
0.2481 0.7481 0.4963 Cs
0.7481 0.2481 0.4963 Cs
0.0138 0.0138 0.0276 As
0.7842 0.2001 0.9844 F
0.2000 0.2000 0.9845 F
0.7844 0.7844 0.9842 F
0.2001 0.7842 0.9843 F
0.7982 0.7982 0.5963 F
```

Computed properties:
final energy = -35.900 eV/cell
spin magnetization = 0.00 Bohr magnetons per cell
uncorrected formation energy = -2523 meV/atom

=====

No. 4
A plane-wave DFT calculation with PBE was carried out for an optimized crystal structure of PaZnGa3.

POSCAR file:
```
PaZnGa3
1.0
-2.0795 4.1261 -0.3350
-0.9105 -0.7959 -4.4720
-4.0555 -1.9249 1.1442
Pa Zn Ga
1 1 3
direct
0.8824 0.8824 0.8824 Pa
0.5115 0.5115 0.5115 Zn
0.3701 0.3701 0.9778 Ga
0.3701 0.9778 0.3701 Ga
0.9778 0.3701 0.3701 Ga
```

Computed properties:
ΔH_f (0 K) = -3 meV per atom
final energy = -19.867 eV/cell
spin magnetization = 0.93 Bohr magnetons per cell

=====

No. 5
A plane-wave DFT calculation with PBE was carried out for an optimized crystal structure of InSn2Pd2.

POSCAR file:
```
InSn2Pd2
1.0
-3.6912 2.9343 0.8046
-1.8517 -3.1703 3.0664
-0.1482 2.1146 5.8279
Sn Pd In
2 2 1
direct
0.3627 0.3627 0.2746 Sn
0.6373 0.6373 0.7254 Sn
0.7500 0.2500 0.5000 Pd
0.2500 0.7500 0.5000 Pd
0.0000 0.0000 0.0000 In
```

Computed properties:
ΔH_f (0 K) = -209 meV per atom
final energy = -22.173 eV/cell
spin magnetization = 0.00 Bohr magnetons per cell

=====

No. 6
A plane-wave DFT calculation with PBE was carried out for an optimized crystal structure of Ge3IrPt.

POSCAR file:
```
Ge3IrPt
1.0
3.9044 -0.4667 -0.3513
-1.0938 6.9694 0.6308
-1.1105 2.3445 6.5908
Ge Ir Pt
6 2 2
direct
0.6156 0.3264 0.7652 Ge
0.8689 0.5780 0.0169 Ge
0.3889 0.3066 0.3302 Ge
0.3890 0.8911 0.7457 Ge
0.0957 0.0132 0.0366 Ge
0.0958 0.5977 0.4521 Ge
0.9670 0.1765 0.6154 Ir
0.5177 0.7279 0.1668 Ir
0.7424 0.7415 0.6019 Pt
0.7423 0.1629 0.1803 Pt
```

Computed properties:
energy relative to the lowest polymorph listed for this composition = 0.0 kJ/mol of formula units
ΔH_f (0 K) = -279 meV per atom
final energy = -60.294 eV/cell
spin magnetization = 0.00 Bohr magnetons per cell